Record 1
Na2Sr2BiO6 after structural relaxation. Source: Alexandria, functional GGA-PBE.

Results
ΔE_f (raw) ... -1.68 eV/atom

Unit cell a=6.280 b=11.003 c=5.973 alpha=90.00 beta=106.16 gamma=90.00
Space group C2/m (No. 12)
Unique sites:
Na 0.000 0.137 0.000
Sr 0.000 0.341 0.500
Bi 0.000 0.000 0.500
O 0.185 0.150 0.701
O 0.225 0.000 0.290

Record 2
NaSrTiBiO6 after structural relaxation. Source: Alexandria, functional GGA-PBE.

Results
ΔE_f (raw) ... -2.04 eV/atom

Unit cell a=8.124 b=8.124 c=8.124 alpha=90.00 beta=90.00 gamma=90.00
Space group F-43m (No. 216)
Unique sites:
Na 0.000 0.000 0.000
Sr 0.000 0.000 0.500
Ti 0.250 0.250 0.750
Bi 0.250 0.250 0.250
O 0.009 0.250 0.750

Result set for magnetic moment: 0.10; 0.00 μB/atom, one per record in the order listed.
Result set for V: 18.017; 13.402 A^3/atom, one per record in the order listed.